1.
Density functional theory data (PBE) for Ga2BiOs after structural relaxation.

Cell and atoms, written as extended XYZ:
```
16
Lattice="4.473 0.000 0.000 0.000 4.473 0.000 0.000 0.000 17.262" Properties=species:S:1:pos:R:3 pbc="T T T"
Ga 0.668 1.118 2.158
Ga 1.118 2.905 6.473
Ga 1.118 3.805 15.104
Ga 1.568 1.118 10.789
Ga 2.905 3.355 10.789
Ga 3.355 0.668 15.104
Ga 3.355 1.568 6.473
Ga 3.805 3.355 2.158
Bi 0.000 0.000 8.631
Bi 0.000 2.236 12.947
Bi 2.236 0.000 4.316
Bi 2.236 2.236 0.000
Os 0.000 0.000 0.000
Os 0.000 2.236 4.316
Os 2.236 0.000 12.947
Os 2.236 2.236 8.631
```

Values from the calculation:
Space group   I-42d (122)
D(E_F)   9.18 states/eV per cell
Relative energy among the computed polymorphs   0 meV/atom
V   21.59 Å³/atom
M_tot   0.00 μB per cell
DFT total energy   -77.512 eV/cell

***

2.
Density functional theory data (PBE) for EuDyYAl after structural relaxation.

Cell and atoms, written as extended XYZ:
```
16
Lattice="7.654 0.000 0.000 0.000 7.654 0.000 0.000 0.000 7.654" Properties=species:S:1:pos:R:3 pbc="T T T"
Eu 0.000 0.000 0.000
Eu 0.000 3.827 3.827
Eu 3.827 0.000 3.827
Eu 3.827 3.827 0.000
Dy 1.913 1.913 1.913
Dy 1.913 5.740 5.740
Dy 5.740 1.913 5.740
Dy 5.740 5.740 1.913
Y 1.913 1.913 5.740
Y 1.913 5.740 1.913
Y 5.740 1.913 1.913
Y 5.740 5.740 5.740
Al 0.000 0.000 3.827
Al 0.000 3.827 0.000
Al 3.827 0.000 0.000
Al 3.827 3.827 3.827
```

Values from the calculation:
Space group   F-43m (216)
D(E_F)   17.55 states/eV per cell
V   28.02 Å³/atom
M_tot   29.55 μB per cell
DFT total energy   -100.867 eV/cell

***

3.
Density functional theory data (PBE) for GaBiSbTe2 after structural relaxation.

Cell and atoms, written as extended XYZ:
```
5
Lattice="5.350 0.000 0.000 0.000 5.350 0.000 0.000 0.000 5.371" Properties=species:S:1:pos:R:3 pbc="T T T"
Ga 0.000 0.000 0.000
Bi 2.675 2.675 2.685
Sb 0.000 0.000 2.685
Te 0.000 2.675 0.000
Te 2.675 0.000 0.000
```

Values from the calculation:
Space group   P4/mmm (123)
Formation energy without anion corrections   369 meV per atom
D(E_F)   4.51 states/eV per cell
Relative energy among the computed polymorphs   0 meV/atom
V   30.74 Å³/atom
M_tot   0.00 μB per cell
DFT total energy   -15.471 eV/cell

***

4.
Density functional theory data (PBE) for BeIrN2O after structural relaxation.

Cell and atoms, written as extended XYZ:
```
5
Lattice="3.729 0.000 0.000 0.000 3.729 0.000 0.000 0.000 4.328" Properties=species:S:1:pos:R:3 pbc="T T T"
Be 0.000 0.000 0.000
Ir 1.865 1.865 2.164
N 0.000 1.865 2.164
N 1.865 0.000 2.164
O 1.865 1.865 0.000
```

Values from the calculation:
Space group   P4/mmm (123)
Formation energy without anion corrections   1055 meV per atom
D(E_F)   2.00 states/eV per cell
V   12.04 Å³/atom
M_tot   0.06 μB per cell
DFT total energy   -28.919 eV/cell

***

5.
Density functional theory data (PBE) for BaSrSb3 after structural relaxation.

Cell and atoms, written as extended XYZ:
```
5
Lattice="6.139 0.000 0.000 0.000 6.139 0.000 0.000 0.000 6.139" Properties=species:S:1:pos:R:3 pbc="T T T"
Ba 0.000 0.000 0.000
Sr 3.070 3.070 3.070
Sb 0.000 0.000 3.070
Sb 0.000 3.070 0.000
Sb 3.070 0.000 0.000
```

Values from the calculation:
Space group   Pm-3m (221)
Formation energy without anion corrections   235 meV per atom
D(E_F)   3.77 states/eV per cell
Relative energy among the computed polymorphs   1033 meV/atom
V   46.28 Å³/atom
M_tot   0.00 μB per cell
DFT total energy   -14.799 eV/cell

***

6.
Density functional theory data (PBE) for CaSbPb2 after structural relaxation.

Cell and atoms, written as extended XYZ:
```
8
Lattice="4.524 0.000 0.000 0.000 5.619 0.000 0.000 0.000 9.631" Properties=species:S:1:pos:R:3 pbc="T T T"
Ca 0.000 0.000 0.000
Ca 2.262 2.810 0.000
Sb 0.000 0.000 4.816
Sb 2.262 2.810 4.816
Pb 0.000 2.810 2.475
Pb 0.000 2.810 7.156
Pb 2.262 0.000 2.475
Pb 2.262 0.000 7.156
```

Values from the calculation:
Space group   Cmmm (65)
Formation energy without anion corrections   -56 meV per atom
D(E_F)   5.88 states/eV per cell
V   30.61 Å³/atom
M_tot   0.00 μB per cell
DFT total energy   -27.526 eV/cell

***

7.
Density functional theory data (PBE) for CePm8Dy4 after structural relaxation.

Cell and atoms, written as extended XYZ:
```
13
Lattice="3.694 2.133 9.134 -3.694 2.133 9.134 0.000 -4.266 9.134" Properties=species:S:1:pos:R:3 pbc="T T T"
Ce 0.000 0.000 0.000
Pm 0.000 -1.953 10.877
Pm -1.691 0.976 10.877
Pm 0.000 0.000 7.640
Pm -1.691 -0.976 16.526
Pm 1.691 0.976 10.877
Pm 0.000 0.000 19.763
Pm 1.691 -0.976 16.526
Pm 0.000 1.953 16.526
Dy -3.694 0.000 13.702
Dy -1.847 1.066 4.567
Dy 1.847 1.066 4.567
Dy 0.000 0.000 13.702
```

Values from the calculation:
Space group   R-3m (166)
D(E_F)   20.10 states/eV per cell
V   33.22 Å³/atom
M_tot   0.00 μB per cell
DFT total energy   -60.435 eV/cell

***

8.
Density functional theory data (PBE) for LiTa2Re after structural relaxation.

Cell and atoms, written as extended XYZ:
```
4
Lattice="2.723 0.000 0.000 0.000 4.572 0.000 -0.829 0.000 5.236" Properties=species:S:1:pos:R:3 pbc="T T T"
Li 0.000 0.000 0.000
Ta 0.103 2.286 3.987
Ta 1.161 0.000 2.521
Re 2.010 2.286 1.355
```

Values from the calculation:
Space group   Pm (6)
D(E_F)   3.60 states/eV per cell
V   16.29 Å³/atom
M_tot   0.00 μB per cell
DFT total energy   -37.460 eV/cell

***

9.
Density functional theory data (PBE) for Ca2MnSi3Pt12 after structural relaxation.

Cell and atoms, written as extended XYZ:
```
18
Lattice="4.102 2.368 5.988 -4.102 2.368 5.988 0.000 -4.736 5.988" Properties=species:S:1:pos:R:3 pbc="T T T"
Ca 0.000 0.000 1.924
Ca 0.000 0.000 16.039
Mn 0.000 0.000 8.982
Si -2.051 -1.184 5.988
Si -2.051 1.184 11.976
Si 0.000 2.368 5.988
Pt -2.087 -1.205 8.309
Pt 0.000 -2.164 5.335
Pt -1.874 1.082 5.335
Pt 0.000 -2.409 9.654
Pt -2.087 1.205 9.654
Pt -1.874 -1.082 12.628
Pt 1.874 1.082 5.335
Pt 2.087 -1.205 8.309
Pt 0.000 2.409 8.309
Pt 1.874 -1.082 12.628
Pt 0.000 2.164 12.628
Pt 2.087 1.205 9.654
```

Values from the calculation:
Space group   R-3m (166)
Formation energy without anion corrections   -401 meV per atom
D(E_F)   4.87 states/eV per cell
V   19.39 Å³/atom
M_tot   4.36 μB per cell
DFT total energy   -109.146 eV/cell

***

10.
Density functional theory data (PBE) for Pr2OsO after structural relaxation.

Cell and atoms, written as extended XYZ:
```
12
Lattice="3.633 0.000 0.000 -1.816 3.146 0.000 0.000 0.000 21.859" Properties=species:S:1:pos:R:3 pbc="T T T"
Pr 0.000 0.000 5.206
Pr 0.000 0.000 16.654
Pr 0.000 2.097 9.367
Pr 0.000 2.097 19.778
Pr 1.816 1.049 2.081
Pr 1.816 1.049 12.492
Os 0.000 0.000 0.000
Os 0.000 2.097 14.573
Os 1.816 1.049 7.286
O 0.000 0.000 10.930
O 0.000 2.097 3.643
O 1.816 1.049 18.216
```

Values from the calculation:
Space group   R-3m (166)
Formation energy without anion corrections   -997 meV per atom
D(E_F)   9.07 states/eV per cell
V   20.82 Å³/atom
M_tot   0.00 μB per cell
DFT total energy   -89.200 eV/cell

***

11.
Density functional theory data (PBE) for Cr2CdTc after structural relaxation.

Cell and atoms, written as extended XYZ:
```
16
Lattice="6.975 0.000 0.000 0.000 6.975 0.000 0.000 0.000 5.491" Properties=species:S:1:pos:R:3 pbc="T T T"
Cr 1.416 5.231 0.686
Cr 1.744 1.416 4.804
Cr 1.744 2.072 2.059
Cr 2.072 5.231 3.432
Cr 4.903 1.744 3.432
Cr 5.231 4.903 2.059
Cr 5.231 5.560 4.804
Cr 5.560 1.744 0.686
Cd 0.000 0.000 2.745
Cd 0.000 3.488 4.118
Cd 3.488 0.000 1.373
Cd 3.488 3.488 0.000
Tc 0.000 0.000 0.000
Tc 0.000 3.488 1.373
Tc 3.488 0.000 4.118
Tc 3.488 3.488 2.745
```

Values from the calculation:
Space group   I-42d (122)
D(E_F)   13.86 states/eV per cell
V   16.70 Å³/atom
M_tot   13.28 μB per cell
DFT total energy   -108.714 eV/cell

***

12.
Density functional theory data (PBE) for CePa2H after structural relaxation.

Cell and atoms, written as extended XYZ:
```
4
Lattice="3.103 0.000 0.000 0.000 3.103 0.000 0.000 0.000 8.066" Properties=species:S:1:pos:R:3 pbc="T T T"
Ce 0.000 0.000 0.000
Pa 1.551 1.551 2.594
Pa 1.551 1.551 5.472
H 0.000 0.000 4.033
```

Values from the calculation:
Space group   P4/mmm (123)
D(E_F)   7.10 states/eV per cell
Relative energy among the computed polymorphs   130 meV/atom
V   19.41 Å³/atom
M_tot   0.00 μB per cell
DFT total energy   -27.618 eV/cell

***

Question: Among the records above, which one has the lowest D(E_F)?
Answer: BeIrN2O